A plane-wave DFT calculation with PBE was carried out for an optimized crystal structure of InHIr3.

Spin magnetization = 0.0 μB/f.u.
DOS(E_F) = 5.02 states/eV/f.u.
Energy above the lowest structure with this stoichiometry = 0.0 kJ/mol of formula units

Cell: 4.036 4.036 4.036 Å, 90.00 90.00 90.00°
Element x y z (fractional)
In1 0.000 0.000 0.000
H1 0.500 0.500 0.500
Ir1 0.000 0.500 0.500
Ir2 0.500 0.000 0.500
Ir3 0.500 0.500 0.000